# 1
Material: Ca2Hg12Pb5
Method: DFT, PBE
State: optimized geometry

Cell lengths 16.2540, 11.2240, 5.8189 Å; angles 90.00, 102.08, 90.00 degrees
Space group C2/m (No. 12)
Symmetry-distinct sites (fractional):
Ca 0.0000 0.2485 0.0000 [4 per cell]
Hg 0.0535 0.5000 0.2902 [4 per cell]
Hg 0.1030 0.2554 0.5801 [8 per cell]
Hg 0.1130 0.0000 0.0358 [4 per cell]
Hg 0.1991 0.2427 0.1890 [8 per cell]
Pb 0.0000 0.0000 0.5000 [2 per cell]
Pb 0.1625 0.5000 0.8576 [4 per cell]
Pb 0.2253 0.0000 0.5793 [4 per cell]

Output
As for the magnetization: 0.0 μB per formula unit. Its density of states at the Fermi level is 9.1 states/eV/f.u. For the final energy, the calculation gives -0.0552 Ha/atom. The formation energy is -2.37 eV/f.u.

***

# 2
Material: CaHgPb3
Method: DFT, PBE
State: optimized geometry

Cell lengths 9.6818, 10.0010, 6.8118 Å; angles 90.00, 90.00, 90.00 degrees
Space group Ima2 (No. 46)
Symmetry-distinct sites (fractional):
Ca 0.2500 0.0190 0.0000 [4 per cell]
Hg 0.2500 0.7495 0.2478 [4 per cell]
Pb 0.0559 0.2501 0.2503 [8 per cell]
Pb 0.2500 0.0346 0.4997 [4 per cell]

Output
As for the magnetization: 0.0 μB per formula unit. Its density of states at the Fermi level is 2.5 states/eV/f.u. For the final energy, the calculation gives -0.1028 Ha/atom. The calculation puts the offset from the most stable computed form at 73 meV per atom. The formation energy is -0.56 eV/f.u.

***

# 3
Material: CaHgPb3
Method: DFT, PBE
State: optimized geometry

Cell lengths 5.9350, 5.9350, 5.9350 Å; angles 90.00, 90.00, 90.00 degrees
Space group Pm-3m (No. 221)
Symmetry-distinct sites (fractional):
Ca 0.0000 0.0000 0.0000 [1 per cell]
Hg 0.5000 0.5000 0.5000 [1 per cell]
Pb 0.0000 0.0000 0.5000 [3 per cell]

Output
As for the magnetization: 0.0 μB per formula unit. Its density of states at the Fermi level is 6.6 states/eV/f.u. For the final energy, the calculation gives -0.0801 Ha/atom. The calculation puts the offset from the most stable computed form at 691 meV per atom. The formation energy is 2.53 eV/f.u.

***

# 4
Material: CaHg2Pb
Method: DFT, PBE
State: optimized geometry

Cell lengths 3.9829, 3.9972, 6.9885 Å; angles 90.00, 90.00, 90.00 degrees
Space group Pmm2 (No. 25)
Symmetry-distinct sites (fractional):
Ca 0.0000 0.0000 0.0000 [1 per cell]
Hg 0.0000 0.0000 0.5364 [1 per cell]
Hg 0.5000 0.5000 0.7624 [1 per cell]
Pb 0.5000 0.5000 0.2858 [1 per cell]

Output
As for the magnetization: 0.0 μB per formula unit. Its density of states at the Fermi level is 2.2 states/eV/f.u. For the final energy, the calculation gives -0.0675 Ha/atom. The formation energy is -1.04 eV/f.u.

***

# 5
Material: CaHg2Pb
Method: DFT, PBE
State: optimized geometry

Cell lengths 7.1387, 7.2083, 8.3754 Å; angles 90.00, 90.00, 90.00 degrees
Space group Fmmm (No. 69)
Symmetry-distinct sites (fractional):
Ca 0.0000 0.0000 0.0000 [4 per cell]
Hg 0.2500 0.2500 0.2500 [8 per cell]
Pb 0.0000 0.0000 0.5000 [4 per cell]

Output
As for the magnetization: 0.0 μB per formula unit. Its density of states at the Fermi level is 1.4 states/eV/f.u. For the final energy, the calculation gives -0.0708 Ha/atom. The formation energy is -1.39 eV/f.u.

***

# 6
Material: Ca2Hg3Pb
Method: DFT, PBE
State: optimized geometry

Cell lengths 7.3629, 10.1388, 17.4750 Å; angles 90.00, 90.00, 90.00 degrees
Space group Fmmm (No. 69)
Symmetry-distinct sites (fractional):
Ca 0.2464 0.0000 0.0000 [8 per cell]
Ca 0.2500 0.2500 0.2500 [8 per cell]
Hg 0.0000 0.0000 0.1648 [8 per cell]
Hg 0.0000 0.2458 0.0820 [16 per cell]
Pb 0.0000 0.0000 0.3352 [8 per cell]

Output
As for the magnetization: 0.0 μB per formula unit. Its density of states at the Fermi level is 2.9 states/eV/f.u. For the final energy, the calculation gives -0.0681 Ha/atom. The formation energy is -2.51 eV/f.u.

***

# 7
Material: Ca2HgPb2
Method: DFT, PBE
State: optimized geometry

Cell lengths 8.0572, 8.0572, 4.7666 Å; angles 90.00, 90.00, 90.00 degrees
Space group P4/mbm (No. 127)
Symmetry-distinct sites (fractional):
Ca 0.1662 0.3338 0.0000 [4 per cell]
Hg 0.0000 0.0000 0.5000 [2 per cell]
Pb 0.1381 0.6381 0.5000 [4 per cell]

Output
As for the magnetization: 0.0 μB per formula unit. Its density of states at the Fermi level is 3.4 states/eV/f.u. For the final energy, the calculation gives -0.1003 Ha/atom. The calculation puts the offset from the most stable computed form at 48 meV per atom. The formation energy is -1.92 eV/f.u.

***

# 8
Material: CaHg2Pb3
Method: DFT, PBE
State: optimized geometry

Cell lengths 19.8147, 4.5422, 8.2445 Å; angles 90.00, 105.89, 90.00 degrees
Space group C2/m (No. 12)
Symmetry-distinct sites (fractional):
Ca 0.1811 0.0000 0.2814 [4 per cell]
Hg 0.0682 0.5000 0.1301 [4 per cell]
Hg 0.2011 0.0000 0.6710 [4 per cell]
Pb 0.0403 0.0000 0.8003 [4 per cell]
Pb 0.0839 0.5000 0.5164 [4 per cell]
Pb 0.1833 0.5000 0.9445 [4 per cell]

Output
As for the magnetization: 0.0 μB per formula unit. Its density of states at the Fermi level is 2.4 states/eV/f.u. For the final energy, the calculation gives -0.0912 Ha/atom. The calculation puts the offset from the most stable computed form at 0 meV per atom. The formation energy is -1.16 eV/f.u.

***

# 9
Material: Ca4Hg2Pb
Method: DFT, PBE
State: optimized geometry

Cell lengths 5.3482, 5.3482, 26.7705 Å; angles 90.00, 90.00, 120.00 degrees
Space group R-3m (No. 166, hexagonal axes)
Symmetry-distinct sites (fractional):
Ca 0.0000 0.0000 0.1225 [6 per cell]
Ca 0.0000 0.0000 0.3738 [6 per cell]
Hg 0.0000 0.0000 0.2525 [6 per cell]
Pb 0.0000 0.0000 0.5000 [3 per cell]

Output
As for the magnetization: 0.0 μB per formula unit. Its density of states at the Fermi level is 5.8 states/eV/f.u. For the final energy, the calculation gives -0.0811 Ha/atom. The formation energy is -3.13 eV/f.u.

***

# 10
Material: Ca3Hg5Pb
Method: DFT, PBE
State: optimized geometry

Cell lengths 9.2862, 9.2862, 6.4770 Å; angles 90.00, 90.00, 120.00 degrees
Space group P6_3/mcm (No. 193)
Symmetry-distinct sites (fractional):
Ca 0.0000 0.3497 0.2500 [6 per cell]
Hg 0.0000 0.3221 0.7500 [6 per cell]
Hg 0.3333 0.6667 0.0000 [4 per cell]
Pb 0.0000 0.0000 0.0000 [2 per cell]

Output
As for the magnetization: 0.0 μB per formula unit. Its density of states at the Fermi level is 4.4 states/eV/f.u. For the final energy, the calculation gives -0.0619 Ha/atom. The formation energy is -3.93 eV/f.u.

***

# 11
Material: Ca2HgPb
Method: DFT, PBE
State: optimized geometry

Cell lengths 5.4922, 5.4922, 3.8351 Å; angles 90.00, 90.00, 90.00 degrees
Space group P4/mmm (No. 123)
Symmetry-distinct sites (fractional):
Ca 0.0000 0.5000 0.0000 [2 per cell]
Hg 0.0000 0.0000 0.5000 [1 per cell]
Pb 0.5000 0.5000 0.5000 [1 per cell]

Output
As for the magnetization: 0.0 μB per formula unit. Its density of states at the Fermi level is 1.6 states/eV/f.u. For the final energy, the calculation gives -0.0947 Ha/atom. The formation energy is -2.29 eV/f.u.

***

# 12
Material: CaHg2Pb5
Method: DFT, PBE
State: optimized geometry

Cell lengths 4.6942, 9.7717, 11.0017 Å; angles 90.00, 90.00, 90.00 degrees
Space group Immm (No. 71)
Symmetry-distinct sites (fractional):
Ca 0.0000 0.0000 0.0000 [2 per cell]
Hg 0.0000 0.5000 0.3089 [4 per cell]
Pb 0.0000 0.1828 0.3451 [8 per cell]
Pb 0.0000 0.5000 0.0000 [2 per cell]

Output
As for the magnetization: 0.0 μB per formula unit. Its density of states at the Fermi level is 3.4 states/eV/f.u. For the final energy, the calculation gives -0.1005 Ha/atom. The formation energy is -0.74 eV/f.u.